1.
# SnH3Cl

A relaxed structure of SnH3Cl (PBE, the Alexandria database).

Computed properties:
VASP energy: -0.1078 Ha/atom
space group: Pm-3m (221)

Cell lengths 3.910, 3.910, 3.910 Å; angles 90.00, 90.00, 90.00 degrees
Positions (direct):
H  0.500  0.000  0.000
H  0.000  0.000  0.500
H  0.000  0.500  0.000
Cl  0.500  0.500  0.500
Sn  0.000  0.000  0.000

=====

2.
# TiSnHCl2

A relaxed structure of TiSnHCl2 (PBE, the Alexandria database).

Computed properties:
VASP energy: -0.1414 Ha/atom
space group: P4/mmm (123)

Cell lengths 5.313, 3.460, 5.313 Å; angles 90.00, 90.00, 90.00 degrees
Last column: magnetic moment on the atom in μB.
Positions (direct):
Cl  0.000  0.000  0.500  0.00
Cl  0.500  0.000  0.000  0.01
Ti  0.000  0.500  0.000  1.56
H  0.000  0.000  0.000  -0.02
Sn  0.500  0.500  0.500  0.11

=====

3.
# TlSnH2Cl8

A relaxed structure of TlSnH2Cl8 (PBE, the Alexandria database).

Computed properties:
VASP energy: -0.1115 Ha/atom
space group: P-1 (2)

Cell lengths 7.058, 6.845, 7.898 Å; angles 88.58, 87.76, 86.61 degrees
Positions (direct):
H  0.701  0.750  0.293
H  0.299  0.250  0.707
Cl  0.737  0.785  0.035
Cl  0.263  0.215  0.965
Cl  0.151  0.779  0.779
Cl  0.849  0.221  0.221
Cl  0.319  0.270  0.539
Cl  0.820  0.198  0.782
Cl  0.180  0.802  0.218
Cl  0.681  0.730  0.461
Sn  0.000  0.000  0.000
Tl  0.000  0.000  0.500

=====

4.
# TlSnHCl2

A relaxed structure of TlSnHCl2 (PBE, the Alexandria database).

Computed properties:
VASP energy: -0.1177 Ha/atom
space group: P4/mmm (123)

Cell lengths 5.679, 5.679, 4.065 Å; angles 90.00, 90.00, 90.00 degrees
Positions (direct):
Cl  0.500  0.000  0.000
Cl  0.000  0.500  0.000
Sn  0.000  0.000  0.000
H  0.000  0.000  0.500
Tl  0.500  0.500  0.500

=====

5.
# YSnH2Cl

A relaxed structure of YSnH2Cl (PBE, the Alexandria database).

Computed properties:
VASP energy: -0.1391 Ha/atom
space group: P4/mmm (123)

Cell lengths 3.896, 3.896, 6.821 Å; angles 90.00, 90.00, 90.00 degrees
Last column: magnetic moment on the atom in μB.
Positions (direct):
Y  0.500  0.500  0.500  0.15
Sn  0.000  0.000  0.000  0.01
H  0.500  0.000  0.000  0.00
H  0.000  0.500  0.000  0.00
Cl  0.000  0.000  0.500  0.01

=====

6.
# SrHCl

A relaxed structure of SrHCl (PBE, the Alexandria database).

Computed properties:
VASP energy: -0.1374 Ha/atom
space group: C2/m (12)

Cell lengths 3.998, 5.687, 7.093 Å; angles 71.21, 73.63, 69.42 degrees
Positions (direct):
Cl  0.423  0.794  0.360
Cl  0.577  0.206  0.640
H  0.788  0.343  0.082
H  0.212  0.657  0.918
Sr  0.188  0.371  0.253
Sr  0.812  0.629  0.747

=====

7.
# Sr2HCl3

A relaxed structure of Sr2HCl3 (PBE, the Alexandria database).

Computed properties:
VASP energy: -0.1474 Ha/atom
space group: C2/m (12)

Cell lengths 4.527, 8.271, 10.674 Å; angles 65.47, 77.76, 74.12 degrees
Positions (direct):
H  0.432  0.489  0.646
H  0.568  0.511  0.354
Sr  0.605  0.221  0.568
Sr  0.395  0.779  0.432
Sr  0.140  0.544  0.176
Sr  0.860  0.456  0.824
Cl  0.213  0.181  0.394
Cl  0.947  0.860  0.246
Cl  0.787  0.819  0.606
Cl  0.661  0.683  0.994
Cl  0.339  0.317  0.006
Cl  0.053  0.140  0.754

=====

8.
# SrHCl3

A relaxed structure of SrHCl3 (PBE, the Alexandria database).

Computed properties:
E above lowest polymorph: 0.600 eV/atom
VASP energy: -0.1172 Ha/atom
space group: Pm-3m (221)

Cell lengths 4.610, 4.610, 4.610 Å; angles 90.00, 90.00, 90.00 degrees
Positions (direct):
Cl  0.000  0.000  0.500
Cl  0.000  0.500  0.000
Cl  0.500  0.000  0.000
Sr  0.500  0.500  0.500
H  0.000  0.000  0.000

=====

9.
# SrHCl

A relaxed structure of SrHCl (PBE, the Alexandria database).

Computed properties:
VASP energy: -0.1388 Ha/atom
space group: P-6m2 (187)

Cell lengths 4.306, 4.077, 4.077 Å; angles 120.00, 90.00, 90.00 degrees
Positions (direct):
H  0.167  0.333  0.667
Cl  0.667  0.667  0.333
Sr  0.167  0.000  0.000

=====

10.
# SrHCl

A relaxed structure of SrHCl (PBE, the Alexandria database).

Computed properties:
VASP energy: -0.1351 Ha/atom
space group: I4/mmm (139)

Cell lengths 4.604, 4.604, 7.323 Å; angles 71.68, 71.68, 90.00 degrees
Positions (direct):
H  0.654  0.094  0.609
H  0.154  0.595  0.608
Sr  0.552  0.492  0.814
Sr  0.257  0.197  0.403
Cl  0.404  0.844  0.108
Cl  0.904  0.344  0.108

=====

11.
# Sr2HCl2

A relaxed structure of Sr2HCl2 (PBE, the Alexandria database).

Computed properties:
E above lowest polymorph: 0.732 eV/atom
VASP energy: -0.1009 Ha/atom
space group: P4/mmm (123)

Cell lengths 5.408, 5.408, 13.849 Å; angles 90.00, 90.00, 90.00 degrees
Positions (direct):
H  0.500  0.500  0.000
Sr  0.500  0.500  0.832
Sr  0.500  0.500  0.168
Cl  0.500  0.500  0.351
Cl  0.500  0.500  0.649

=====

12.
# Sr2H2Cl

A relaxed structure of Sr2H2Cl (PBE, the Alexandria database).

Computed properties:
E above lowest polymorph: 0.000 eV/atom
VASP energy: -0.1216 Ha/atom
space group: I4/mmm (139)

Cell lengths 3.919, 3.919, 7.569 Å; angles 74.99, 74.99, 90.00 degrees
Positions (direct):
Sr  0.652  0.652  0.696
Sr  0.348  0.348  0.304
H  0.750  0.250  0.500
H  0.250  0.750  0.500
Cl  0.000  0.000  0.000

=====

no.,total moment (μB/f.u.)
1,0.000
2,2.242
3,0.000
4,0.000
5,0.353
6,0.000
7,0.000
8,0.000
9,0.000
10,0.000
11,0.005
12,0.007